No. 1
meta-GGA SCAN MnAgMo2, single point on PBEsol structure; E_form = 0.41 eV/atom
1.0
4.7876 0.0000 0.0000
0.0000 2.6851 0.0000
-1.6656 0.0000 4.6163
Mn Ag Mo
1 1 2
direct
0.0000 0.0000 0.0000 Mn
0.5000 0.5000 0.0000 Ag
0.0000 0.5000 0.5000 Mo
0.5000 0.0000 0.5000 Mo

No. 2
meta-GGA SCAN MnAgMo2, single point on PBEsol structure; E_form = 0.38 eV/atom
1.0
2.6777 0.0000 0.0000
0.0000 2.6777 0.0000
0.0000 0.0000 7.9717
Mn Ag Mo
1 1 2
direct
0.0000 0.0000 0.0000 Mn
0.0000 0.0000 0.5000 Ag
0.5000 0.5000 0.2155 Mo
0.5000 0.5000 0.7845 Mo

No. 3
meta-GGA SCAN MnAgN2, single point on PBEsol structure; total energy = -16.044 eV/atom
1.0
0.0000 2.7069 2.7069
2.7069 0.0000 2.7069
2.7069 2.7069 0.0000
Mn Ag N
1 1 2
direct
0.0000 0.0000 0.0000 Mn
0.5000 0.5000 0.5000 Ag
0.2500 0.2500 0.2500 N
0.7500 0.7500 0.7500 N

No. 4
meta-GGA SCAN MnAg3N, single point on PBEsol structure; total energy = -22.557 eV/atom
1.0
4.8553 0.0000 0.0000
0.0000 4.8553 0.0000
0.0000 0.0000 4.8553
Mn Ag N
1 3 1
direct
0.0000 0.0000 0.0000 Mn
0.0000 0.0000 0.5000 Ag
0.0000 0.5000 0.0000 Ag
0.5000 0.0000 0.0000 Ag
0.5000 0.5000 0.5000 N

No. 5
meta-GGA SCAN MnAgN3, single point on PBEsol structure; total energy = -14.488 eV/atom
1.0
3.6868 0.0000 0.0000
0.0000 3.6868 0.0000
0.0000 0.0000 3.6868
Mn Ag N
1 1 3
direct
0.0000 0.0000 0.0000 Mn
0.5000 0.5000 0.5000 Ag
0.0000 0.0000 0.5000 N
0.0000 0.5000 0.0000 N
0.5000 0.0000 0.0000 N

No. 6
meta-GGA SCAN MnAg2RhN, single point on PBEsol structure; total energy = -22.947 eV/atom
1.0
4.8243 0.0000 0.0000
0.0000 4.8243 0.0000
0.0000 0.0000 4.2699
Mn Ag Rh N
1 2 1 1
direct
0.0000 0.0000 0.0000 Mn
0.0000 0.5000 0.0000 Ag
0.5000 0.0000 0.0000 Ag
0.0000 0.0000 0.5000 Rh
0.5000 0.5000 0.5000 N

No. 7
meta-GGA SCAN MnAgSN2, single point on PBEsol structure; total energy = -14.158 eV/atom
1.0
3.9199 0.0000 0.0000
0.0000 3.9199 0.0000
0.0000 0.0000 5.1928
Mn Ag S N
1 1 1 2
direct
0.0000 0.0000 0.0000 Mn
0.5000 0.5000 0.5000 Ag
0.5000 0.5000 0.0000 S
0.0000 0.5000 0.5000 N
0.5000 0.0000 0.5000 N

No. 8
meta-GGA SCAN MnAgSbN2, single point on PBEsol structure; total energy = -19.600 eV/atom
1.0
4.0299 0.0000 0.0000
0.0000 4.0299 0.0000
0.0000 0.0000 5.2104
Mn Ag Sb N
1 1 1 2
direct
0.0000 0.0000 0.0000 Mn
0.5000 0.5000 0.0000 Ag
0.0000 0.0000 0.5000 Sb
0.0000 0.5000 0.5000 N
0.5000 0.0000 0.5000 N